# NbTlSe2

An optimized crystal structure of NbTlSe2 (PBE, Alexandria via LeMat-Bulk).

POSCAR file:
```
NbTlSe2
1.0
7.5433 0.0000 0.0000
0.0000 7.5433 0.0000
0.0000 0.0000 8.7075
Nb Tl Se
4 4 8
Cartesian
0.0000 0.0000 0.0000
0.0000 3.7716 2.1769
3.7716 0.0000 6.5306
3.7716 3.7716 4.3538
0.0000 0.0000 4.3538
0.0000 3.7716 6.5306
3.7716 0.0000 2.1769
3.7716 3.7716 0.0000
1.2955 1.8858 1.0884
1.8858 5.0672 3.2653
1.8858 6.2477 7.6191
2.4761 1.8858 5.4422
5.0672 5.6574 5.4422
5.6574 1.2955 7.6191
5.6574 2.4761 3.2653
6.2477 5.6574 1.0884
```

Values from the calculation:
VASP energy = -5.153 eV per atom
Space-group type = I-42d (122)